! KAl2N GGA-PBE optimized geometry; values from VASP
! Formation energy from raw total energies ... 0.225 eV per atom
! V ... 86.8 Å³/f.u.
! Space group ... No. 122
&SYSTEM
  ibrav = 0, nat = 8, ntyp = 3
/
ATOMIC_SPECIES
K 39.10 K.upf
Al 26.98 Al.upf
N 14.01 N.upf
CELL_PARAMETERS angstrom
-1.832 0.042 6.458
3.913 -5.333 1.145
3.990 -0.306 4.623
ATOMIC_POSITIONS angstrom
K 0.000 0.000 0.000
K 1.599 -1.454 7.441
Al 0.653 -0.724 4.237
Al 2.903 -3.397 3.777
Al 4.438 -3.121 6.513
Al 4.148 -3.951 9.925
N 1.041 -2.645 3.802
N 4.472 -4.142 4.785